Density functional theory data (PBE) for a relaxed structure of Pr3Nd2Bi3.

Results
For the size of the total moment, the calculation gives 1.15 Bohr magnetons per cell. The value obtained for the formation energy from the elements is -604.5 kJ/mol of formula units. The value obtained for the mass density is 8.5 g/cm3. The uncorrected energy is -83.56 eV/cell.

abc: 9.5634 9.5634 6.6333
angles: 90.00 90.00 120.00
Space group P6_3/mcm (No. 193)
Asymmetric unit:
Pr 0.0000 0.2474 0.2500 [6 per cell]
Nd 0.3333 0.6667 0.0000 [4 per cell]
Bi 0.0000 0.3884 0.7500 [6 per cell]


Density functional theory data (PBE) for a relaxed structure of Pr3NdBi2.

Results
For the size of the total moment, the calculation gives 0.01 Bohr magnetons per cell. The calculation puts the energy above the most stable polymorph in this dataset at 1.29 eV per formula unit. The value obtained for the formation energy from the elements is -257.9 kJ/mol of formula units. The value obtained for the mass density is 7.3 g/cm3. The uncorrected energy is -118.16 eV/cell.

abc: 7.3585 15.1976 8.0459
angles: 90.00 90.00 90.00
Space group Ibam (No. 72)
Asymmetric unit:
Pr 0.0000 0.0000 0.2500 [4 per cell]
Pr 0.0000 0.2978 0.2500 [8 per cell]
Nd 0.0000 0.5000 0.0000 [4 per cell]
Bi 0.1659 0.1482 0.0000 [8 per cell]


Density functional theory data (PBE) for a relaxed structure of Pr8NdBi6.

Results
For the size of the total moment, the calculation gives 0.01 Bohr magnetons per cell. The value obtained for the formation energy from the elements is -896.0 kJ/mol of formula units. The value obtained for the mass density is 7.7 g/cm3. The uncorrected energy is -226.73 eV/cell.

abc: 8.4703 8.4703 26.3428
angles: 90.00 90.00 120.00
Space group R-3 (No. 148, hexagonal axes)
Asymmetric unit:
Pr 0.0000 0.0000 0.1666 [6 per cell]
Pr 0.0003 0.3346 0.3778 [18 per cell]
Nd 0.0000 0.0000 0.5000 [3 per cell]
Bi 0.0002 0.3320 0.5668 [18 per cell]


Density functional theory data (PBE) for a relaxed structure of PrNdBi2.

Results
For the size of the total moment, the calculation gives 0.00 Bohr magnetons per cell. The calculation puts the energy above the most stable polymorph in this dataset at 0.74 eV per formula unit. The value obtained for the formation energy from the elements is -298.2 kJ/mol of formula units. The value obtained for the mass density is 9.3 g/cm3. The uncorrected energy is -20.40 eV/cell.

abc: 6.0245 6.0245 3.4730
angles: 90.00 90.00 90.00
Space group P4/mmm (No. 123)
Asymmetric unit:
Pr 0.0000 0.0000 0.0000 [1 per cell]
Nd 0.5000 0.5000 0.0000 [1 per cell]
Bi 0.0000 0.5000 0.5000 [2 per cell]


Density functional theory data (PBE) for a relaxed structure of Pr3NdBi3.

Results
For the size of the total moment, the calculation gives 0.00 Bohr magnetons per cell. The calculation puts the energy above the most stable polymorph in this dataset at 0.00 eV per formula unit. The value obtained for the formation energy from the elements is -568.9 kJ/mol of formula units. The value obtained for the mass density is 8.6 g/cm3. The uncorrected energy is -146.58 eV/cell.

abc: 9.7511 9.7511 9.7511
angles: 90.00 90.00 90.00
Space group P2_13 (No. 198)
Asymmetric unit:
Pr 0.0702 0.4298 0.5702 [4 per cell]
Pr 0.1789 0.1789 0.1789 [4 per cell]
Pr 0.1786 0.8214 0.3214 [4 per cell]
Nd 0.0710 0.5710 0.9290 [4 per cell]
Bi 0.0003 0.2511 0.8740 [12 per cell]


Density functional theory data (PBE) for a relaxed structure of Pr4NdBi5.

Results
For the size of the total moment, the calculation gives 0.00 Bohr magnetons per cell. The value obtained for the formation energy from the elements is -925.7 kJ/mol of formula units. The value obtained for the mass density is 8.3 g/cm3. The uncorrected energy is -105.77 eV/cell.

abc: 4.6398 6.5497 23.1562
angles: 90.00 90.00 90.00
Space group Immm (No. 71)
Asymmetric unit:
Pr 0.0000 0.0000 0.1000 [4 per cell]
Pr 0.0000 0.0000 0.3003 [4 per cell]
Nd 0.0000 0.0000 0.5000 [2 per cell]
Bi 0.0000 0.5000 0.0993 [4 per cell]
Bi 0.0000 0.5000 0.2999 [4 per cell]
Bi 0.0000 0.5000 0.5000 [2 per cell]


Density functional theory data (PBE) for a relaxed structure of Pr4NdBi5.

Results
For the size of the total moment, the calculation gives 0.00 Bohr magnetons per cell. The value obtained for the formation energy from the elements is -926.2 kJ/mol of formula units. The value obtained for the mass density is 8.3 g/cm3. The uncorrected energy is -105.78 eV/cell.

abc: 4.6358 4.6358 32.7545
angles: 90.00 90.00 90.00
Space group I4/mmm (No. 139)
Asymmetric unit:
Pr 0.0000 0.0000 0.0998 [4 per cell]
Pr 0.0000 0.0000 0.3001 [4 per cell]
Nd 0.0000 0.0000 0.5000 [2 per cell]
Bi 0.0000 0.0000 0.0000 [2 per cell]
Bi 0.0000 0.0000 0.2000 [4 per cell]
Bi 0.0000 0.0000 0.4004 [4 per cell]


Density functional theory data (PBE) for a relaxed structure of Pr2NdBi2.

Results
For the size of the total moment, the calculation gives 0.00 Bohr magnetons per cell. The value obtained for the formation energy from the elements is -235.5 kJ/mol of formula units. The value obtained for the mass density is 7.9 g/cm3. The uncorrected energy is -49.06 eV/cell.

abc: 7.6386 6.2738 7.7084
angles: 90.00 106.27 90.00
Space group C2/m (No. 12)
Asymmetric unit:
Pr 0.0000 0.2478 0.0000 [4 per cell]
Nd 0.0000 0.5000 0.5000 [2 per cell]
Bi 0.1687 0.0000 0.6999 [4 per cell]


Density functional theory data (PBE) for a relaxed structure of PrNd5Bi4.

Results
For the size of the total moment, the calculation gives 0.00 Bohr magnetons per cell. The value obtained for the formation energy from the elements is -548.2 kJ/mol of formula units. The value obtained for the mass density is 7.4 g/cm3. The uncorrected energy is -99.65 eV/cell.

abc: 19.6828 4.5399 8.8724
angles: 90.00 106.25 90.00
Space group C2/m (No. 12)
Asymmetric unit:
Pr 0.0000 0.0000 0.0000 [2 per cell]
Nd 0.0000 0.0000 0.5000 [2 per cell]
Nd 0.1616 0.5000 0.8242 [4 per cell]
Nd 0.1780 0.5000 0.3506 [4 per cell]
Bi 0.0095 0.5000 0.2598 [4 per cell]
Bi 0.1708 0.0000 0.0892 [4 per cell]


Density functional theory data (PBE) for a relaxed structure of PrNd3Bi2.

Results
For the size of the total moment, the calculation gives 0.76 Bohr magnetons per cell. The calculation puts the energy above the most stable polymorph in this dataset at 0.53 eV per formula unit. The value obtained for the formation energy from the elements is -326.4 kJ/mol of formula units. The value obtained for the mass density is 8.2 g/cm3. The uncorrected energy is -120.91 eV/cell.

abc: 19.2680 4.5185 10.2848
angles: 90.00 115.67 90.00
Space group C2/m (No. 12)
Asymmetric unit:
Pr 0.1115 0.0000 0.1188 [4 per cell]
Nd 0.0560 0.0000 0.6720 [4 per cell]
Nd 0.1448 0.5000 0.4729 [4 per cell]
Nd 0.1883 0.5000 0.8905 [4 per cell]
Bi 0.0092 0.5000 0.8448 [4 per cell]
Bi 0.2477 0.0000 0.7177 [4 per cell]


Density functional theory data (PBE) for a relaxed structure of PrNd2Bi3.

Results
For the size of the total moment, the calculation gives 0.00 Bohr magnetons per cell. The value obtained for the formation energy from the elements is -552.1 kJ/mol of formula units. The value obtained for the mass density is 8.4 g/cm3. The uncorrected energy is -63.36 eV/cell.

abc: 4.6233 6.5281 13.8611
angles: 90.00 90.00 90.00
Space group Immm (No. 71)
Asymmetric unit:
Pr 0.0000 0.0000 0.0000 [2 per cell]
Nd 0.0000 0.0000 0.3336 [4 per cell]
Bi 0.0000 0.5000 0.0000 [2 per cell]
Bi 0.0000 0.5000 0.3323 [4 per cell]


Density functional theory data (PBE) for a relaxed structure of Pr2Nd3Bi3.

Results
For the size of the total moment, the calculation gives 1.12 Bohr magnetons per cell. The value obtained for the formation energy from the elements is -599.9 kJ/mol of formula units. The value obtained for the mass density is 8.5 g/cm3. The uncorrected energy is -83.45 eV/cell.

abc: 9.5577 9.5577 6.6193
angles: 90.00 90.00 120.00
Space group P6_3/mcm (No. 193)
Asymmetric unit:
Pr 0.3333 0.6667 0.0000 [4 per cell]
Nd 0.0000 0.2471 0.2500 [6 per cell]
Bi 0.0000 0.3861 0.7500 [6 per cell]


> What is the size of the total moment in the eleventh record?

0.00 Bohr magnetons per cell